(1)
# AuSe3

AuSe3 after structural relaxation (PBE, Alexandria via LeMat-Bulk).

Cell: 4.017 4.489 10.772 Å, 90.00 90.00 90.00°
Space group Immm (No. 71)
Asymmetric unit:
Au: 0.000 0.000 0.000
Se: 0.000 0.000 0.500
Se: 0.000 0.500 0.341

## Properties
Total magnetization, μB per atom: 0.000
Formation energy (no corrections), eV per atom: 0.31



(2)
# WAuBr2

WAuBr2 after structural relaxation (PBE, Alexandria via LeMat-Bulk).

Cell: 9.022 9.022 5.290 Å, 90.00 90.00 90.00°
Space group I-42d (No. 122)
Asymmetric unit:
W: 0.000 0.000 0.000
Au: 0.000 0.000 0.500
Br: 0.109 0.250 0.125

## Properties
Energy relative to the lowest polymorph listed for this composition, eV per atom: 0.353
Total magnetization, μB per atom: 0.000
Formation energy (no corrections), eV per atom: 0.57



(3)
# Ga2Pb2Se

Ga2Pb2Se after structural relaxation (PBE, Alexandria via LeMat-Bulk).

Cell: 8.309 8.309 3.937 Å, 90.00 90.00 90.00°
Space group P4/mbm (No. 127)
Asymmetric unit:
Ga: 0.113 0.387 0.000
Pb: 0.193 0.693 0.500
Se: 0.000 0.000 0.500

## Properties
Energy relative to the lowest polymorph listed for this composition, eV per atom: 0.010
Total magnetization, μB per atom: 0.000
Formation energy (no corrections), eV per atom: 0.04



(4)
# PuZrIr4

PuZrIr4 after structural relaxation (PBE, Alexandria via LeMat-Bulk).

Cell: 7.507 7.507 7.507 Å, 90.00 90.00 90.00°
Space group F-43m (No. 216)
Asymmetric unit:
Pu: 0.000 0.000 0.000
Zr: 0.250 0.250 0.750
Ir: 0.125 0.125 0.375

## Properties
Total magnetization, μB per atom: 0.865
Formation energy, eV per atom: -0.601



(5)
# Ba2MgPdAu6

Ba2MgPdAu6 after structural relaxation (PBE, Alexandria via LeMat-Bulk).

Cell: 10.230 10.456 7.230 Å, 90.00 134.97 90.00°
Space group C2/m (No. 12)
Asymmetric unit:
Ba: 0.000 0.218 0.000
Mg: 0.000 0.500 0.500
Pd: 0.000 0.000 0.500
Au: 0.000 0.251 0.500
Au: 0.195 0.500 0.996
Au: 0.198 0.500 0.400

## Properties
Total magnetization, μB per atom: 0.000
Formation energy, eV per atom: -0.428



(6)
# BaTl3Pd

BaTl3Pd after structural relaxation (PBE, Alexandria via LeMat-Bulk).

Cell: 7.355 10.916 7.871 Å, 90.00 90.00 90.00°
Space group Pnma (No. 62)
Asymmetric unit:
Ba: 0.009 0.250 0.071
Tl: 0.005 0.250 0.545
Tl: 0.225 0.539 0.228
Pd: 0.000 0.000 0.500

## Properties
Total magnetization, μB per atom: 0.000
Formation energy, eV per atom: -0.231



(7)
# PaMnZn2

PaMnZn2 after structural relaxation (PBE, Alexandria via LeMat-Bulk).

Cell: 4.659 6.367 4.773 Å, 90.00 107.87 90.00°
Space group P2_1/m (No. 11)
Asymmetric unit:
Pa: 0.037 0.250 0.118
Mn: 0.100 0.750 0.363
Zn: 0.411 0.050 0.718

## Properties
Energy relative to the lowest polymorph listed for this composition, eV per atom: 0.000
Total magnetization, μB per atom: 0.000
Formation energy, eV per atom: -0.169



(8)
# P2OsPbCl

P2OsPbCl after structural relaxation (PBE, Alexandria via LeMat-Bulk).

Cell: 4.556 4.556 6.024 Å, 90.00 90.00 90.00°
Space group P4/mmm (No. 123)
Asymmetric unit:
P: 0.000 0.500 0.000
Os: 0.000 0.000 0.000
Pb: 0.500 0.500 0.500
Cl: 0.000 0.000 0.500

## Properties
Energy relative to the lowest polymorph listed for this composition, eV per atom: 0.000
Total magnetization, μB per atom: 0.000
Formation energy (no corrections), eV per atom: 0.34



(9)
# ThMg2GaPd2

ThMg2GaPd2 after structural relaxation (PBE, Alexandria via LeMat-Bulk).

Cell: 5.105 5.105 10.513 Å, 90.00 90.00 90.00°
Space group I4/mmm (No. 139)
Asymmetric unit:
Th: 0.000 0.000 0.000
Mg: 0.000 0.500 0.250
Ga: 0.000 0.000 0.500
Pd: 0.000 0.000 0.267

## Properties
Total magnetization, μB per atom: 0.000
Formation energy, eV per atom: -0.311



(10)
# ZrIn2IO

ZrIn2IO after structural relaxation (PBE, Alexandria via LeMat-Bulk).

Cell: 4.660 4.660 5.107 Å, 90.00 90.00 90.00°
Space group P4/mmm (No. 123)
Asymmetric unit:
Zr: 0.000 0.000 0.000
In: 0.000 0.500 0.500
I: 0.500 0.500 0.000
O: 0.500 0.500 0.500

## Properties
Total magnetization, μB per atom: 0.000
Formation energy (no corrections), eV per atom: 0.09



(11)
# MgRh3C

MgRh3C after structural relaxation (PBE, Alexandria via LeMat-Bulk).

Cell: 11.265 9.891 5.555 Å, 90.00 118.08 90.00°
Space group C2/c (No. 15)
Asymmetric unit:
Mg: 0.000 0.207 0.250
Mg: 0.000 0.288 0.750
Rh: 0.114 0.034 0.986
Rh: 0.126 0.456 0.491
Rh: 0.250 0.209 0.761
C: 0.207 0.391 0.877

## Properties
Total magnetization, μB per atom: 0.000
Formation energy, eV per atom: -0.046



(12)
# KY3Ir

KY3Ir after structural relaxation (PBE, Alexandria via LeMat-Bulk).

Cell: 5.557 5.557 5.557 Å, 90.00 90.00 90.00°
Space group Pm-3m (No. 221)
Asymmetric unit:
K: 0.000 0.000 0.000
Y: 0.000 0.500 0.500
Ir: 0.500 0.500 0.500

## Properties
Energy relative to the lowest polymorph listed for this composition, eV per atom: 0.000
Total magnetization, μB per atom: 0.000
Formation energy, eV per atom: -0.187



(13)
# HoThHgIr

HoThHgIr after structural relaxation (PBE, Alexandria via LeMat-Bulk).

Cell: 4.1371 4.1371 22.3795 Å, 90.00 90.00 120.00°
Space group R3m (No. 160, hexagonal axes)
Asymmetric unit:
Ho: 0.0000 0.0000 0.0000
Th: 0.0000 0.0000 0.1999
Hg: 0.0000 0.0000 0.7616
Ir: 0.0000 0.0000 0.6003

## Properties
Energy relative to the lowest polymorph listed for this composition, eV per atom: 0.000
Total magnetization, μB per atom: 0.000
Formation energy, eV per atom: -0.646



(14)
# Nd4CoHg

Nd4CoHg after structural relaxation (PBE, Alexandria via LeMat-Bulk).

Cell: 13.839 13.839 13.839 Å, 90.00 90.00 90.00°
Space group F-43m (No. 216)
Asymmetric unit:
Nd: 0.000 0.000 0.189
Nd: 0.060 0.250 0.750
Nd: 0.098 0.098 0.402
Co: 0.109 0.109 0.609
Hg: 0.167 0.167 0.167

## Properties
Energy relative to the lowest polymorph listed for this composition, eV per atom: 0.000
Total magnetization, μB per atom: 0.000
Formation energy, eV per atom: -0.231



(15)
# Pa4Sb3P2

Pa4Sb3P2 after structural relaxation (PBE, Alexandria via LeMat-Bulk).

Cell: 14.092 4.202 9.464 Å, 90.00 122.59 90.00°
Space group C2/m (No. 12)
Asymmetric unit:
Pa: 0.084 0.000 0.400
Pa: 0.186 0.500 0.081
Sb: 0.000 0.000 0.000
Sb: 0.119 0.500 0.702
P: 0.188 0.500 0.362

## Properties
Total magnetization, μB per atom: 0.363
Formation energy (no corrections), eV per atom: -0.60



(16)
# MgNbCr

MgNbCr after structural relaxation (PBE, Alexandria via LeMat-Bulk).

Cell: 3.233 4.635 13.546 Å, 90.00 90.00 90.00°
Space group Fmm2 (No. 42)
Asymmetric unit:
Mg: 0.000 0.000 0.000
Nb: 0.000 0.000 0.307
Cr: 0.000 0.000 0.667

## Properties
Energy relative to the lowest polymorph listed for this composition, eV per atom: 0.098
Total magnetization, μB per atom: 0.000
Formation energy, eV per atom: 0.338



(17)
# BiN3Cl

BiN3Cl after structural relaxation (PBE, Alexandria via LeMat-Bulk).

Cell: 4.492 4.492 4.492 Å, 90.00 90.00 90.00°
Space group Pm-3m (No. 221)
Asymmetric unit:
Bi: 0.000 0.000 0.000
N: 0.000 0.000 0.500
Cl: 0.500 0.500 0.500

## Properties
Total magnetization, μB per atom: 1.079
Formation energy (no corrections), eV per atom: 2.21



(18)
# KBe4Mo

KBe4Mo after structural relaxation (PBE, Alexandria via LeMat-Bulk).

Cell: 6.741 6.741 6.741 Å, 90.00 90.00 90.00°
Space group F-43m (No. 216)
Asymmetric unit:
K: 0.000 0.000 0.000
Be: 0.118 0.118 0.382
Mo: 0.250 0.250 0.750

## Properties
Total magnetization, μB per atom: 0.001
Formation energy, eV per atom: 0.837



(19)
# FePbSeN2

FePbSeN2 after structural relaxation (PBE, Alexandria via LeMat-Bulk).

Cell: 4.156 4.156 5.503 Å, 90.00 90.00 90.00°
Space group P4/mmm (No. 123)
Asymmetric unit:
Fe: 0.000 0.000 0.000
Pb: 0.500 0.500 0.500
Se: 0.500 0.500 0.000
N: 0.000 0.500 0.500

## Properties
Energy relative to the lowest polymorph listed for this composition, eV per atom: 1.082
Total magnetization, μB per atom: 1.211
Formation energy (no corrections), eV per atom: 1.93



(20)
# RbPuMg2Cl8

RbPuMg2Cl8 after structural relaxation (PBE, Alexandria via LeMat-Bulk).

Cell: 6.527 6.701 9.199 Å, 76.57 77.94 76.87°
Space group P-1 (No. 2)
Asymmetric unit:
Rb: 0.000 0.000 0.000
Pu: 0.000 0.000 0.500
Mg: 0.461 0.453 0.208
Cl: 0.185 0.718 0.730
Cl: 0.239 0.772 0.289
Cl: 0.292 0.245 0.445
Cl: 0.368 0.309 0.020

## Properties
Total magnetization, μB per atom: 0.417
Formation energy (no corrections), eV per atom: -1.84



(21)
# MnVIr2I

MnVIr2I after structural relaxation (PBE, Alexandria via LeMat-Bulk).

Cell: 4.623 4.623 4.691 Å, 90.00 90.00 90.00°
Space group P4/mmm (No. 123)
Asymmetric unit:
Mn: 0.000 0.000 0.000
V: 0.000 0.000 0.500
Ir: 0.000 0.500 0.500
I: 0.500 0.500 0.000

## Properties
Total magnetization, μB per atom: 0.600
Formation energy (no corrections), eV per atom: 1.19



(22)
# CaHgI2

CaHgI2 after structural relaxation (PBE, Alexandria via LeMat-Bulk).

Cell: 4.5050 4.5050 32.0572 Å, 90.00 90.00 120.00°
Space group R-3m (No. 166, hexagonal axes)
Asymmetric unit:
Ca: 0.0000 0.0000 0.0000
Hg: 0.0000 0.0000 0.5000
I: 0.0000 0.0000 0.2777

## Properties
Energy relative to the lowest polymorph listed for this composition, eV per atom: 0.000
Total magnetization, μB per atom: 0.000
Formation energy (no corrections), eV per atom: -1.19



(23)
# SrCaCdF6

SrCaCdF6 after structural relaxation (PBE, Alexandria via LeMat-Bulk).

Cell: 5.9430 5.9430 10.2387 Å, 90.00 90.00 120.00°
Space group P-31c (No. 163)
Asymmetric unit:
Sr: 0.0000 0.0000 0.0000
Ca: 0.3333 0.6667 0.2500
Cd: 0.3333 0.6667 0.7500
F: 0.0009 0.3435 0.6358

## Properties
Total magnetization, μB per atom: 0.000
Formation energy (no corrections), eV per atom: -3.31